{"formula": "AcScMnSi2", "functional": "PBE-GGA", "state": "optimized geometry", "energy_ev_per_atom": -6.604, "raw_formation_energy_kcal_per_mol_atoms": -11.817, "volume_a3_per_atom": 21.4, "lattice": [[4.3504, 0.0000, 0.0000], [0.0000, 4.3504, 0.0000], [-2.1752, -2.1752, 5.6433]], "species": ["Ac", "Sc", "Mn", "Si", "Si"], "fractional_positions": [[0.0000, 0.0000, 0.0000], [0.2500, 0.7500, 0.5000], [0.7500, 0.2500, 0.5000], [0.6128, 0.6128, 0.2257], [0.3872, 0.3872, 0.7743]]}

***

{"formula": "Ac2ScMnTe5", "functional": "PBE-GGA", "state": "optimized geometry", "energy_ev_per_atom": -5.581, "raw_formation_energy_kcal_per_mol_atoms": -27.679, "volume_a3_per_atom": 31.7, "lattice": [[4.5055, 0.0000, 0.0000], [-2.2528, 9.6792, 0.0000], [0.0000, 0.0000, 13.0883]], "species": ["Ac", "Ac", "Ac", "Ac", "Sc", "Sc", "Mn", "Mn", "Te", "Te", "Te", "Te", "Te", "Te", "Te", "Te", "Te", "Te"], "fractional_positions": [[0.8773, 0.7547, 0.8084], [0.1181, 0.2362, 0.6901], [0.1227, 0.2453, 0.3084], [0.8819, 0.7638, 0.1901], [0.8089, 0.6178, 0.5072], [0.1911, 0.3822, 0.0072], [0.5795, 0.1591, 0.9630], [0.4205, 0.8409, 0.4630], [0.3481, 0.6962, 0.0015], [0.6988, 0.3975, 0.8521], [0.5049, 0.0097, 0.7856], [0.2941, 0.5881, 0.6584], [0.9562, 0.9124, 0.5577], [0.6519, 0.3038, 0.5015], [0.3012, 0.6025, 0.3521], [0.4951, 0.9903, 0.2856], [0.7059, 0.4119, 0.1584], [0.0438, 0.0876, 0.0577]]}

***

{"formula": "AcMnSe2", "functional": "PBE-GGA", "state": "optimized geometry", "energy_ev_per_atom": -6.291, "relative_energy_mev_per_atom": 0.0, "raw_formation_energy_kcal_per_mol_atoms": -28.354, "volume_a3_per_atom": 26.1, "lattice": [[-4.0367, -3.9102, -4.5571], [2.9554, -5.5032, 3.9961], [-6.0714, 0.3973, 5.0372]], "species": ["Ac", "Ac", "Ac", "Ac", "Mn", "Mn", "Mn", "Mn", "Se", "Se", "Se", "Se", "Se", "Se", "Se", "Se"], "fractional_positions": [[0.8072, 0.1957, 0.9432], [0.1928, 0.3043, 0.4432], [0.1928, 0.8043, 0.0568], [0.8072, 0.6957, 0.5568], [0.4118, 0.9329, 0.6390], [0.5882, 0.0671, 0.3610], [0.5882, 0.5671, 0.1390], [0.4118, 0.4329, 0.8610], [0.0932, 0.0038, 0.7275], [0.9068, 0.4962, 0.2275], [0.9068, 0.9962, 0.2725], [0.0932, 0.5038, 0.7725], [0.4203, 0.2173, 0.1230], [0.4203, 0.7173, 0.3770], [0.5797, 0.7827, 0.8770], [0.5797, 0.2827, 0.6230]]}

***

{"formula": "Ac2Mn2Se5", "functional": "PBE-GGA", "state": "optimized geometry", "energy_ev_per_atom": -6.146, "relative_energy_mev_per_atom": 0.0, "raw_formation_energy_kcal_per_mol_atoms": -29.038, "volume_a3_per_atom": 28.3, "lattice": [[6.4372, 0.0000, -2.2995], [-1.1374, 6.7658, -3.1841], [0.3134, 1.0193, 11.0375]], "species": ["Ac", "Ac", "Ac", "Ac", "Mn", "Mn", "Mn", "Mn", "Se", "Se", "Se", "Se", "Se", "Se", "Se", "Se", "Se", "Se"], "fractional_positions": [[0.6097, 0.1446, 0.2089], [0.4008, 0.8554, 0.7911], [0.1097, 0.5643, 0.2089], [0.9008, 0.4357, 0.7911], [0.0181, 0.0000, 0.0000], [0.5181, 0.5000, 0.0000], [0.1989, 0.1663, 0.5000], [0.6989, 0.8337, 0.5000], [0.2442, 0.2419, 0.9671], [0.2771, 0.7581, 0.0329], [0.7442, 0.2252, 0.9671], [0.7771, 0.7748, 0.0329], [0.1876, 0.2108, 0.2830], [0.9046, 0.7892, 0.7170], [0.6876, 0.5722, 0.2830], [0.4046, 0.4278, 0.7170], [0.8230, 0.1519, 0.5000], [0.3230, 0.8481, 0.5000]]}

***

What did we get for M_tot? Answer: 3.1 8.1 16.0 19.3 μB per cell, in the order shown.